No. 1
The following is a PBE calculation of PrCdNi after structural relaxation, from the Open Quantum Materials Database.

Output
ΔH_f (0 K) ... 393.6 meV per atom
SG ... No. 216
Theoretical density ... 6.41 g/cm3

POSCAR file:
```
PrCdNi
1.0
0.000 3.433 3.433
3.433 0.000 3.433
3.433 3.433 0.000
Pr Cd Ni
1 1 1
Direct
0.000 0.000 0.000
0.750 0.750 0.750
0.250 0.250 0.250
```



No. 2
The following is a PBE calculation of CdNiSnPt after structural relaxation, from the Open Quantum Materials Database.

Output
Final energy ... -4.32 eV per atom
SG ... No. 216
Theoretical density ... 11.84 g/cm3

POSCAR file:
```
CdNiSnPt
1.0
0.000 3.239 3.239
3.239 0.000 3.239
3.239 3.239 0.000
Cd Ni Sn Pt
1 1 1 1
Direct
0.000 0.000 0.000
0.750 0.750 0.750
0.500 0.500 0.500
0.250 0.250 0.250
```



No. 3
The following is a PBE calculation of RbCdNi after structural relaxation, from the Open Quantum Materials Database.

Output
Distance to the lowest polymorph of the same formula ... 0.00 eV/f.u.
SG ... No. 216
Theoretical density ... 4.78 g/cm3

POSCAR file:
```
RbCdNi
1.0
0.000 3.545 3.545
3.545 0.000 3.545
3.545 3.545 0.000
Rb Cd Ni
1 1 1
Direct
0.000 0.000 0.000
0.500 0.500 0.500
0.750 0.750 0.750
```



No. 4
The following is a PBE calculation of Cd2Re2Ni after structural relaxation, from the Open Quantum Materials Database.

Output
ΔH_f (0 K) ... 438.1 meV per atom
SG ... No. 12
Theoretical density ... 12.03 g/cm3

POSCAR file:
```
Cd2Re2Ni
1.0
4.309 -1.840 0.000
4.309 1.840 0.000
-1.042 0.000 5.708
Cd Re Ni
2 2 1
Direct
0.129 0.129 0.375
0.871 0.871 0.625
0.190 0.190 0.890
0.810 0.810 0.110
0.500 0.500 0.000
```



No. 5
The following is a PBE calculation of Cd2ReNi after structural relaxation, from the Open Quantum Materials Database.

Output
ΔH_f (0 K) ... 682.7 meV per atom
SG ... No. 216
Theoretical density ... 12.08 g/cm3

POSCAR file:
```
Cd2ReNi
1.0
0.000 3.184 3.184
3.184 0.000 3.184
3.184 3.184 0.000
Cd Re Ni
2 1 1
Direct
0.000 0.000 0.000
0.250 0.250 0.250
0.750 0.750 0.750
0.500 0.500 0.500
```



No. 6
The following is a PBE calculation of CdNiSnS3 after structural relaxation, from the Open Quantum Materials Database.

Output
Distance to the lowest polymorph of the same formula ... 0.00 eV/f.u.
SG ... No. 63
Theoretical density ... 5.30 g/cm3

POSCAR file:
```
CdNiSnS3
1.0
1.850 -6.496 0.000
1.850 6.496 0.000
0.000 0.000 10.056
Cd Ni Sn S
2 2 2 6
Direct
0.000 0.000 0.000
0.000 0.000 0.500
0.481 0.519 0.750
0.519 0.481 0.250
0.237 0.763 0.250
0.763 0.237 0.750
0.083 0.917 0.750
0.361 0.639 0.581
0.361 0.639 0.919
0.639 0.361 0.081
0.639 0.361 0.419
0.917 0.083 0.250
```



No. 7
The following is a PBE calculation of CdNiSnS3 after structural relaxation, from the Open Quantum Materials Database.

Output
Distance to the lowest polymorph of the same formula ... 0.07 eV/f.u.
SG ... No. 63
Theoretical density ... 4.70 g/cm3

POSCAR file:
```
CdNiSnS3
1.0
1.757 -7.139 0.000
1.757 7.139 0.000
0.000 0.000 10.872
Cd Ni Sn S
2 2 2 6
Direct
0.035 0.965 0.750
0.965 0.035 0.250
0.500 0.500 0.000
0.500 0.500 0.500
0.307 0.693 0.750
0.693 0.307 0.250
0.084 0.916 0.070
0.084 0.916 0.430
0.328 0.672 0.250
0.672 0.328 0.750
0.916 0.084 0.570
0.916 0.084 0.930
```



No. 8
The following is a PBE calculation of ScCdNiSb after structural relaxation, from the Open Quantum Materials Database.

Output
Final energy ... -4.41 eV per atom
SG ... No. 216
Theoretical density ... 7.38 g/cm3

POSCAR file:
```
ScCdNiSb
1.0
0.000 3.361 3.361
3.361 0.000 3.361
3.361 3.361 0.000
Sc Cd Ni Sb
1 1 1 1
Direct
0.000 0.000 0.000
0.750 0.750 0.750
0.500 0.500 0.500
0.250 0.250 0.250
```



No. 9
The following is a PBE calculation of TaCdNiSb after structural relaxation, from the Open Quantum Materials Database.

Output
Final energy ... -5.21 eV per atom
SG ... No. 216
Theoretical density ... 10.91 g/cm3

POSCAR file:
```
TaCdNiSb
1.0
0.000 3.303 3.303
3.303 0.000 3.303
3.303 3.303 0.000
Ta Cd Ni Sb
1 1 1 1
Direct
0.000 0.000 0.000
0.750 0.750 0.750
0.500 0.500 0.500
0.250 0.250 0.250
```



No. 10
The following is a PBE calculation of CdTcNiSb after structural relaxation, from the Open Quantum Materials Database.

Output
Final energy ... -5.00 eV per atom
SG ... No. 216
Theoretical density ... 9.90 g/cm3

POSCAR file:
```
CdTcNiSb
1.0
0.000 3.201 3.201
3.201 0.000 3.201
3.201 3.201 0.000
Cd Tc Ni Sb
1 1 1 1
Direct
0.000 0.000 0.000
0.250 0.250 0.250
0.750 0.750 0.750
0.500 0.500 0.500
```



No. 11
The following is a PBE calculation of Sc3CdNi8 after structural relaxation, from the Open Quantum Materials Database.

Output
ΔH_f (0 K) ... -454.9 meV per atom
SG ... No. 160
Theoretical density ... 7.30 g/cm3

POSCAR file:
```
Sc3CdNi8
1.0
2.431 1.404 7.960
-2.431 1.404 7.960
0.000 -2.807 7.960
Sc Cd Ni
3 1 8
Direct
0.000 0.000 0.000
0.128 0.128 0.128
0.620 0.620 0.620
0.498 0.498 0.498
0.059 0.561 0.561
0.061 0.061 0.565
0.061 0.565 0.061
0.312 0.312 0.312
0.561 0.059 0.561
0.561 0.561 0.059
0.565 0.061 0.061
0.811 0.811 0.811
```



No. 12
The following is a PBE calculation of ScCdNi4 after structural relaxation, from the Open Quantum Materials Database.

Output
ΔH_f (0 K) ... -376.1 meV per atom
SG ... No. 216
Theoretical density ... 8.01 g/cm3

POSCAR file:
```
ScCdNi4
1.0
0.000 3.439 3.439
3.439 0.000 3.439
3.439 3.439 0.000
Sc Cd Ni
1 1 4
Direct
0.000 0.000 0.000
0.250 0.250 0.250
0.127 0.624 0.624
0.624 0.127 0.624
0.624 0.624 0.127
0.624 0.624 0.624
```